Entry 1:
DFT (PBE-GGA) results for crystalline ErPdRhAu at its relaxed geometry.

## Properties
DFT total energy	-23.472	eV for the cell shown

a = 4.1914 Å, b = 3.9217 Å, c = 4.2675 Å
α = 90.00°, β = 90.00°, γ = 90.00°
Atoms (fractional coordinates):
Er 0.5000 0.0000 0.5000
Pd 0.5000 0.5000 0.0000
Rh 0.0000 0.5000 0.5000
Au 0.0000 0.0000 0.0000

***

Entry 2:
DFT (PBE-GGA) results for crystalline CeLuBi at its relaxed geometry.

## Properties
DFT total energy	-15.042	eV for the cell shown

a = 3.9627 Å, b = 5.2144 Å, c = 5.2144 Å
α = 120.00°, β = 90.00°, γ = 90.00°
Atoms (fractional coordinates):
Bi 0.1875 0.6667 0.3333
Lu 0.1518 0.0000 0.0000
Ce 0.6607 0.3333 0.6667

***

Entry 3:
DFT (PBE-GGA) results for crystalline Al2PCl at its relaxed geometry.

## Properties
uncorrected formation energy	-0.029	eV per atom
DFT total energy	-14.859	eV for the cell shown

a = 3.4537 Å, b = 3.4537 Å, c = 7.3039 Å
α = 90.00°, β = 90.00°, γ = 116.38°
Atoms (fractional coordinates):
Al 0.0000 0.0000 0.5344
Al 0.0000 0.0000 0.9656
Cl 0.5000 0.5000 0.2500
P 0.5000 0.5000 0.7500

***

Entry 4:
DFT (PBE-GGA) results for crystalline HfSb2HF at its relaxed geometry.

## Properties
DFT total energy	-24.512	eV for the cell shown

a = 4.3623 Å, b = 4.5380 Å, c = 4.3623 Å
α = 90.00°, β = 90.00°, γ = 90.00°
Atoms (fractional coordinates):
F 0.0000 0.5000 0.0000
H 0.0000 0.0000 0.0000
Sb 0.0000 0.0000 0.5000
Sb 0.5000 0.0000 0.0000
Hf 0.5000 0.5000 0.5000